Run i
## TlSi2Cl2 (PBE)

Data for TlSi2Cl2 after structural relaxation.

The calculation puts the volume at 233.2 Å³ per cell.

The space group is I4/mmm (No. 139) and the conventional cell measures 4.573, 4.573 and 11.148 Å, with angles of 90.00, 90.00 and 90.00 degrees. The asymmetric unit holds Tl at (0.000, 0.000, 0.000), Si at (0.000, 0.000, 0.395) and Cl at (0.000, 0.500, 0.250).

Run ii
## TlSi2Cl2 (PBE)

Data for TlSi2Cl2 after structural relaxation.

The calculation puts the volume at 231.7 Å³ per cell.

The space group is P4/mbm (No. 127) and the conventional cell measures 7.167, 7.167 and 4.511 Å, with angles of 90.00, 90.00 and 90.00 degrees. The asymmetric unit holds Tl at (0.000, 0.000, 0.000), Si at (0.117, 0.383, 0.000) and Cl at (0.158, 0.658, 0.500).

run ii ends up most stable, edging out the next structure by 95 meV per atom.

Run i
## Tm2SiCl (PBE)

Data for Tm2SiCl after structural relaxation.

The calculation puts the volume at 283.0 Å³ per cell.

The space group is R-3m (No. 166, hexagonal axes) and the conventional cell measures 4.0875, 4.0875 and 19.5614 Å, with angles of 90.00, 90.00 and 120.00 degrees. The asymmetric unit holds Tm at (0.0000, 0.0000, 0.2395), Si at (0.0000, 0.0000, 0.5000) and Cl at (0.0000, 0.0000, 0.0000).

Run ii
## Tm2SiCl (PBE)

Data for Tm2SiCl after structural relaxation.

The calculation puts the volume at 295.7 Å³ per cell.

The space group is R3m (No. 160, hexagonal axes) and the conventional cell measures 4.0067, 4.0067 and 21.2655 Å, with angles of 90.00, 90.00 and 120.00 degrees. The asymmetric unit holds Tm at (0.0000, 0.0000, 0.0000), Tm at (0.0000, 0.0000, 0.1963), Si at (0.0000, 0.0000, 0.5974) and Cl at (0.0000, 0.0000, 0.7701).

run i ends up most stable, edging out the next structure by 67 meV per atom.

Run i
## V2SiCl (PBE)

Data for V2SiCl after structural relaxation.

The calculation puts the volume at 223.6 Å³ per cell.

The space group is Fm-3m (No. 225) and the conventional cell measures 6.070, 6.070 and 6.070 Å, with angles of 90.00, 90.00 and 90.00 degrees. The asymmetric unit holds V at (0.250, 0.250, 0.250), Si at (0.000, 0.000, 0.000) and Cl at (0.000, 0.000, 0.500).

Run ii
## V2SiCl (PBE)

Data for V2SiCl after structural relaxation.

The calculation puts the volume at 328.6 Å³ per cell.

The space group is I-42d (No. 122) and the conventional cell measures 5.064, 5.064 and 12.815 Å, with angles of 90.00, 90.00 and 90.00 degrees. The asymmetric unit holds V at (0.245, 0.250, 0.125), Si at (0.000, 0.000, 0.500) and Cl at (0.000, 0.000, 0.000).

run i ends up most stable, edging out the next structure by 200 meV per atom.

Run i
## VSi2Cl (PBE)

Data for VSi2Cl after structural relaxation.

The calculation puts the volume at 264.3 Å³ per cell.

The space group is Fm-3m (No. 225) and the conventional cell measures 6.418, 6.418 and 6.418 Å, with angles of 90.00, 90.00 and 90.00 degrees. The asymmetric unit holds V at (0.000, 0.000, 0.000), Si at (0.250, 0.250, 0.250) and Cl at (0.000, 0.000, 0.500).

Run ii
## VSi2Cl (PBE)

Data for VSi2Cl after structural relaxation.

The calculation puts the volume at 367.1 Å³ per cell.

The space group is I-42d (No. 122) and the conventional cell measures 6.077, 6.077 and 9.941 Å, with angles of 90.00, 90.00 and 90.00 degrees. The asymmetric unit holds V at (0.000, 0.000, 0.000), Si at (0.216, 0.250, 0.125) and Cl at (0.000, 0.000, 0.500).

run ii ends up most stable, edging out the next structure by 26 meV per atom.

Run i
## SiWCl2 (PBE)

Data for SiWCl2 after structural relaxation.

The calculation puts the volume at 373.3 Å³ per cell.

The space group is I-42d (No. 122) and the conventional cell measures 8.770, 8.770 and 4.853 Å, with angles of 90.00, 90.00 and 90.00 degrees. The asymmetric unit holds Si at (0.000, 0.000, 0.000), W at (0.000, 0.000, 0.500) and Cl at (0.112, 0.250, 0.625).

Run ii
## SiWCl2 (PBE)

Data for SiWCl2 after structural relaxation.

The calculation puts the volume at 263.4 Å³ per cell.

The space group is R-3m (No. 166, hexagonal axes) and the conventional cell measures 3.0124, 3.0124 and 33.5153 Å, with angles of 90.00, 90.00 and 120.00 degrees. The asymmetric unit holds Si at (0.0000, 0.0000, 0.0000), W at (0.0000, 0.0000, 0.5000) and Cl at (0.0000, 0.0000, 0.2200).

Run iii
## SiWCl2 (PBE)

Data for SiWCl2 after structural relaxation.

The calculation puts the volume at 136.7 Å³ per cell.

The space group is Cmmm (No. 65) and the conventional cell measures 5.751, 8.267 and 2.876 Å, with angles of 90.00, 90.00 and 90.00 degrees. The asymmetric unit holds Si at (0.000, 0.000, 0.000), W at (0.000, 0.500, 0.000) and Cl at (0.250, 0.250, 0.500).

run ii ends up most stable, edging out the next structure by 64 meV per atom.

Run i
## SiWCl2 (PBE)

Data for SiWCl2 after structural relaxation.

The calculation puts the volume at 83.9 Å³ per cell.

The space group is P4/mmm (No. 123) and the conventional cell measures 2.936, 2.936 and 9.732 Å, with angles of 90.00, 90.00 and 90.00 degrees. The asymmetric unit holds Si at (0.000, 0.000, 0.000), W at (0.000, 0.000, 0.500) and Cl at (0.500, 0.500, 0.343).

Run ii
## SiWCl2 (PBE)

Data for SiWCl2 after structural relaxation.

The calculation puts the volume at 272.8 Å³ per cell.

The space group is R-3m (No. 166, hexagonal axes) and the conventional cell measures 3.0037, 3.0037 and 34.9123 Å, with angles of 90.00, 90.00 and 120.00 degrees. The asymmetric unit holds Si at (0.0000, 0.0000, 0.0000), W at (0.0000, 0.0000, 0.5000) and Cl at (0.0000, 0.0000, 0.1153).

Run iii
## SiWCl2 (PBE)

Data for SiWCl2 after structural relaxation.

The calculation puts the volume at 187.0 Å³ per cell.

The space group is C2/m (No. 12) and the conventional cell measures 15.196, 3.021 and 4.154 Å, with angles of 90.00, 101.18 and 90.00 degrees. The asymmetric unit holds Si at (0.000, 0.000, 0.000), W at (0.000, 0.500, 0.500) and Cl at (0.138, 0.000, 0.664).

run iii ends up most stable, edging out the next structure by 298 meV per atom.

Run i
## SiWCl3 (PBE)

Data for SiWCl3 after structural relaxation.

The calculation puts the volume at 115.7 Å³ per cell.

The space group is Pm-3m (No. 221) and the conventional cell measures 4.872, 4.872 and 4.872 Å, with angles of 90.00, 90.00 and 90.00 degrees. The asymmetric unit holds Si at (0.000, 0.000, 0.000), W at (0.500, 0.500, 0.500) and Cl at (0.000, 0.500, 0.500).

Run ii
## SiWCl3 (PBE)

Data for SiWCl3 after structural relaxation.

The calculation puts the volume at 122.8 Å³ per cell.

The space group is Pm-3m (No. 221) and the conventional cell measures 4.970, 4.970 and 4.970 Å, with angles of 90.00, 90.00 and 90.00 degrees. The asymmetric unit holds Si at (0.000, 0.000, 0.000), W at (0.500, 0.500, 0.500) and Cl at (0.000, 0.000, 0.500).

run i ends up most stable, edging out the next structure by 320 meV per atom.

Run i
## YSiCl3 (PBE)

Data for YSiCl3 after structural relaxation.

The calculation puts the volume at 151.1 Å³ per cell.

The space group is Pm-3m (No. 221) and the conventional cell measures 5.326, 5.326 and 5.326 Å, with angles of 90.00, 90.00 and 90.00 degrees. The asymmetric unit holds Y at (0.000, 0.000, 0.000), Si at (0.500, 0.500, 0.500) and Cl at (0.000, 0.000, 0.500).

Run ii
## YSiCl3 (PBE)

Data for YSiCl3 after structural relaxation.

The calculation puts the volume at 129.3 Å³ per cell.

The space group is Pm-3m (No. 221) and the conventional cell measures 5.057, 5.057 and 5.057 Å, with angles of 90.00, 90.00 and 90.00 degrees. The asymmetric unit holds Y at (0.000, 0.000, 0.000), Si at (0.500, 0.500, 0.500) and Cl at (0.000, 0.500, 0.500).

run i ends up most stable, edging out the next structure by 585 meV per atom.

Run i
## YSi3Cl (PBE)

Data for YSi3Cl after structural relaxation.

The calculation puts the volume at 168.1 Å³ per cell.

The space group is Pm-3m (No. 221) and the conventional cell measures 5.519, 5.519 and 5.519 Å, with angles of 90.00, 90.00 and 90.00 degrees. The asymmetric unit holds Y at (0.000, 0.000, 0.000), Si at (0.000, 0.000, 0.500) and Cl at (0.500, 0.500, 0.500).

Run ii
## YSi3Cl (PBE)

Data for YSi3Cl after structural relaxation.

The calculation puts the volume at 106.3 Å³ per cell.

The space group is Pm-3m (No. 221) and the conventional cell measures 4.738, 4.738 and 4.738 Å, with angles of 90.00, 90.00 and 90.00 degrees. The asymmetric unit holds Y at (0.000, 0.000, 0.000), Si at (0.000, 0.500, 0.500) and Cl at (0.500, 0.500, 0.500).

run ii ends up most stable, edging out the next structure by 606 meV per atom.

Run i
## Zn2SiCl (PBE)

Data for Zn2SiCl after structural relaxation.

The calculation puts the volume at 151.5 Å³ per cell.

The space group is C2/m (No. 12) and the conventional cell measures 12.389, 2.929 and 4.458 Å, with angles of 90.00, 110.53 and 90.00 degrees. The asymmetric unit holds Zn at (0.201, 0.000, 0.206), Si at (0.000, 0.500, 0.000) and Cl at (0.000, 0.000, 0.500).

Run ii
## Zn2SiCl (PBE)

Data for Zn2SiCl after structural relaxation.

The calculation puts the volume at 169.4 Å³ per cell.

The space group is Cm (No. 8) and the conventional cell measures 13.762, 3.145 and 3.941 Å, with angles of 90.00, 96.90 and 90.00 degrees. The asymmetric unit holds Zn at (0.000, 0.000, 0.000), Zn at (0.187, 0.000, 0.692), Si at (0.142, 0.500, 0.175) and Cl at (0.375, 0.000, 0.745).

Run iii
## Zn2SiCl (PBE)

Data for Zn2SiCl after structural relaxation.

The calculation puts the volume at 83.5 Å³ per cell.

The space group is P4mm (No. 99) and the conventional cell measures 3.516, 3.516 and 6.758 Å, with angles of 90.00, 90.00 and 90.00 degrees. The asymmetric unit holds Zn at (0.000, 0.000, 0.000), Zn at (0.500, 0.500, 0.423), Si at (0.500, 0.500, 0.071) and Cl at (0.000, 0.000, 0.596).

Run iv
## Zn2SiCl (PBE)

Data for Zn2SiCl after structural relaxation.

The calculation puts the volume at 387.3 Å³ per cell.

The space group is I-42d (No. 122) and the conventional cell measures 5.855, 5.855 and 11.297 Å, with angles of 90.00, 90.00 and 90.00 degrees. The asymmetric unit holds Zn at (0.217, 0.250, 0.125), Si at (0.000, 0.000, 0.000) and Cl at (0.000, 0.000, 0.500).

run ii ends up most stable, edging out the next structure by 15 meV per atom.

Run i
## Zn2SiCl (PBE)

Data for Zn2SiCl after structural relaxation.

The calculation puts the volume at 146.3 Å³ per cell.

The space group is Imm2 (No. 44) and the conventional cell measures 2.977, 5.172 and 9.505 Å, with angles of 90.00, 90.00 and 90.00 degrees. The asymmetric unit holds Zn at (0.000, 0.000, 0.000), Zn at (0.000, 0.500, 0.274), Si at (0.000, 0.500, 0.732) and Cl at (0.000, 0.000, 0.550).

Run ii
## Zn2SiCl (PBE)

Data for Zn2SiCl after structural relaxation.

The calculation puts the volume at 152.8 Å³ per cell.

The space group is C2/m (No. 12) and the conventional cell measures 5.276, 7.611 and 4.543 Å, with angles of 90.00, 123.12 and 90.00 degrees. The asymmetric unit holds Zn at (0.250, 0.250, 0.000), Si at (0.000, 0.000, 0.500) and Cl at (0.000, 0.500, 0.500).

Run iii
## Zn2SiCl (PBE)

Data for Zn2SiCl after structural relaxation.

The calculation puts the volume at 70.2 Å³ per cell.

The space group is P4/mmm (No. 123) and the conventional cell measures 3.146, 3.146 and 7.093 Å, with angles of 90.00, 90.00 and 90.00 degrees. The asymmetric unit holds Zn at (0.000, 0.000, 0.221), Si at (0.500, 0.500, 0.000) and Cl at (0.500, 0.500, 0.500).

run iii ends up most stable, edging out the next structure by 28 meV per atom.